(1)
This record from the Alexandria database describes crystalline PuTl5Hg6 at its relaxed geometry. The functional is PBE-GGA.

Unit cell a=8.0248 b=8.0248 c=8.7102 alpha=90.00 beta=90.00 gamma=143.61
Positions (direct):
Pu 0.0000 0.0000 0.0000
Tl 0.0000 0.0000 0.5000
Tl 0.3307 0.6693 0.5000
Tl 0.3341 0.6659 0.0000
Tl 0.6659 0.3341 0.0000
Tl 0.6693 0.3307 0.5000
Hg 0.1643 0.8357 0.2463
Hg 0.1643 0.8357 0.7537
Hg 0.5000 0.5000 0.2511
Hg 0.5000 0.5000 0.7489
Hg 0.8357 0.1643 0.2463
Hg 0.8357 0.1643 0.7537

Values from the calculation:
- Energy of formation from the pure elements: -0.02 eV per atom
- DFT total energy: -2.35 eV/atom

(2)
This record from the Alexandria database describes crystalline PuTl3Hg at its relaxed geometry. The functional is PBE-GGA.

Unit cell a=7.8434 b=8.9103 c=8.5908 alpha=90.00 beta=90.00 gamma=90.00
Positions (direct):
Pu 0.1986 0.2500 0.0663
Pu 0.3014 0.7500 0.5663
Pu 0.6986 0.2500 0.4337
Pu 0.8014 0.7500 0.9337
Tl 0.1126 0.7500 0.2173
Tl 0.1438 0.5571 0.8596
Tl 0.1438 0.9429 0.8596
Tl 0.3562 0.0571 0.3596
Tl 0.3562 0.4429 0.3596
Tl 0.3874 0.2500 0.7173
Tl 0.6126 0.7500 0.2827
Tl 0.6438 0.5571 0.6404
Tl 0.6438 0.9429 0.6404
Tl 0.8562 0.0571 0.1404
Tl 0.8562 0.4429 0.1404
Tl 0.8874 0.2500 0.7827
Hg 0.0000 0.0000 0.5000
Hg 0.0000 0.5000 0.5000
Hg 0.5000 0.0000 0.0000
Hg 0.5000 0.5000 0.0000

Values from the calculation:
- Energy of formation from the pure elements: 0.08 eV per atom
- DFT total energy: -4.27 eV/atom

(3)
This record from the Alexandria database describes crystalline Pu3TlHg12 at its relaxed geometry. The functional is PBE-GGA.

Unit cell a=4.7726 b=4.6697 c=18.8187 alpha=90.00 beta=90.10 gamma=90.00
Positions (direct):
Pu 0.0000 0.0000 0.0000
Pu 0.0028 0.0000 0.2503
Pu 0.9972 0.0000 0.7497
Tl 0.0000 0.0000 0.5000
Hg 0.0017 0.5000 0.1245
Hg 0.0043 0.5000 0.3717
Hg 0.4965 0.0000 0.6291
Hg 0.4969 0.5000 0.7545
Hg 0.4985 0.0000 0.8758
Hg 0.5000 0.5000 0.0000
Hg 0.5000 0.5000 0.5000
Hg 0.5015 0.0000 0.1242
Hg 0.5031 0.5000 0.2455
Hg 0.5035 0.0000 0.3709
Hg 0.9957 0.5000 0.6283
Hg 0.9983 0.5000 0.8755

Values from the calculation:
- Energy of formation from the pure elements: -0.07 eV per atom
- DFT total energy: -3.13 eV/atom

(4)
This record from the Alexandria database describes crystalline PuTl2Hg5 at its relaxed geometry. The functional is PBE-GGA.

Unit cell a=10.0501 b=10.0501 c=10.0501 alpha=152.62 beta=152.62 gamma=39.11
Positions (direct):
Pu 0.0000 0.0000 0.0000
Tl 0.2482 0.2482 0.0000
Tl 0.7518 0.7518 0.0000
Hg 0.1203 0.6203 0.5000
Hg 0.3797 0.8797 0.5000
Hg 0.5000 0.5000 0.0000
Hg 0.6203 0.1203 0.5000
Hg 0.8797 0.3797 0.5000

Values from the calculation:
- Energy of formation from the pure elements: -0.07 eV per atom
- DFT total energy: -2.64 eV/atom

(5)
This record from the Alexandria database describes crystalline Pu2TlHg9 at its relaxed geometry. The functional is PBE-GGA.

Unit cell a=4.7064 b=4.7064 c=14.2423 alpha=90.00 beta=90.00 gamma=90.00
Positions (direct):
Pu 0.0000 0.0000 0.1668
Pu 0.0000 0.0000 0.8332
Tl 0.0000 0.0000 0.5000
Hg 0.0000 0.5000 0.0000
Hg 0.0000 0.5000 0.3275
Hg 0.0000 0.5000 0.6725
Hg 0.5000 0.0000 0.0000
Hg 0.5000 0.0000 0.3275
Hg 0.5000 0.0000 0.6725
Hg 0.5000 0.5000 0.1617
Hg 0.5000 0.5000 0.5000
Hg 0.5000 0.5000 0.8383

Values from the calculation:
- Energy of formation from the pure elements: -0.08 eV per atom
- DFT total energy: -2.89 eV/atom

(6)
This record from the Alexandria database describes crystalline PuTlHg2 at its relaxed geometry. The functional is PBE-GGA.

Unit cell a=3.4021 b=4.3987 c=7.0604 alpha=90.00 beta=90.00 gamma=90.00
Positions (direct):
Pu 0.0000 0.0000 0.0000
Tl 0.0000 0.0000 0.5000
Hg 0.5000 0.5000 0.2433
Hg 0.5000 0.5000 0.7567

Values from the calculation:
- Energy of formation from the pure elements: -0.07 eV per atom
- DFT total energy: -4.40 eV/atom

(7)
This record from the Alexandria database describes crystalline PuTl2Hg8 at its relaxed geometry. The functional is PBE-GGA.

Unit cell a=8.7480 b=8.7480 c=8.7480 alpha=150.32 beta=110.43 gamma=77.42
Positions (direct):
Pu 0.0000 0.0000 0.0000
Tl 0.3632 0.3632 0.0000
Tl 0.6368 0.6368 0.0000
Hg 0.0835 0.8362 0.2473
Hg 0.1819 0.6819 0.5000
Hg 0.2360 0.5000 0.7360
Hg 0.4111 0.1638 0.2473
Hg 0.5889 0.8362 0.7527
Hg 0.7640 0.5000 0.2640
Hg 0.8181 0.3181 0.5000
Hg 0.9165 0.1638 0.7527

Values from the calculation:
- Energy of formation from the pure elements: -0.04 eV per atom
- DFT total energy: -1.99 eV/atom

(8)
This record from the Alexandria database describes crystalline PuTlHg3 at its relaxed geometry. The functional is PBE-GGA.

Unit cell a=8.6166 b=8.6166 c=5.5803 alpha=90.00 beta=90.00 gamma=134.07
Positions (direct):
Pu 0.1924 0.8076 0.7500
Pu 0.8076 0.1924 0.2500
Tl 0.3364 0.6636 0.2500
Tl 0.6636 0.3364 0.7500
Hg 0.0000 0.0000 0.0000
Hg 0.0000 0.0000 0.5000
Hg 0.1076 0.3896 0.7500
Hg 0.3896 0.1076 0.2500
Hg 0.6104 0.8924 0.7500
Hg 0.8924 0.6104 0.2500

Values from the calculation:
- Energy of formation from the pure elements: 0.04 eV per atom
- E above lowest polymorph: 0.000 eV/atom
- DFT total energy: -3.49 eV/atom

(9)
This record from the Alexandria database describes crystalline PuTl16Hg12 at its relaxed geometry. The functional is PBE-GGA.

Unit cell a=10.1919 b=10.1919 c=10.0939 alpha=108.80 beta=108.80 gamma=108.61
Positions (direct):
Pu 0.0000 0.0000 0.0000
Tl 0.0280 0.7161 0.1269
Tl 0.3078 0.6279 0.3284
Tl 0.3089 0.6629 0.7147
Tl 0.3122 0.3122 0.0831
Tl 0.3126 0.3126 0.7236
Tl 0.3138 0.9089 0.0368
Tl 0.5939 0.9890 0.4035
Tl 0.6279 0.3078 0.3284
Tl 0.6319 0.9020 0.7197
Tl 0.6629 0.3089 0.7147
Tl 0.6912 0.6912 0.4227
Tl 0.7161 0.0280 0.1269
Tl 0.9020 0.6319 0.7197
Tl 0.9089 0.3138 0.0368
Tl 0.9606 0.9606 0.3837
Tl 0.9890 0.5939 0.4035
Hg 0.1150 0.3019 0.3419
Hg 0.1256 0.5037 0.9113
Hg 0.1256 0.9423 0.7300
Hg 0.3019 0.1150 0.3419
Hg 0.3146 0.9462 0.5435
Hg 0.4829 0.6729 0.0808
Hg 0.4897 0.4897 0.5483
Hg 0.5037 0.1256 0.9113
Hg 0.6729 0.4829 0.0808
Hg 0.6946 0.6946 0.9155
Hg 0.9423 0.1256 0.7300
Hg 0.9462 0.3146 0.5435

Values from the calculation:
- Energy of formation from the pure elements: 0.00 eV per atom
- DFT total energy: -1.93 eV/atom

(10)
This record from the Alexandria database describes crystalline Pu2Tl2Hg at its relaxed geometry. The functional is PBE-GGA.

Unit cell a=5.2482 b=5.2482 c=6.4621 alpha=113.43 beta=113.43 gamma=60.36
Positions (direct):
Pu 0.1002 0.1002 0.3015
Pu 0.8998 0.8998 0.6985
Tl 0.3016 0.3016 0.9039
Tl 0.6984 0.6984 0.0961
Hg 0.5000 0.5000 0.5000

Values from the calculation:
- Energy of formation from the pure elements: 0.02 eV per atom
- DFT total energy: -6.72 eV/atom

(11)
This record from the Alexandria database describes crystalline Pu2Tl3Hg3 at its relaxed geometry. The functional is PBE-GGA.

Unit cell a=6.0715 b=6.0715 c=6.0715 alpha=94.31 beta=94.31 gamma=94.31
Positions (direct):
Pu 0.2134 0.2134 0.2134
Pu 0.7866 0.7866 0.7866
Tl 0.2508 0.7492 0.5000
Tl 0.5000 0.2508 0.7492
Tl 0.7492 0.5000 0.2508
Hg 0.0000 0.2885 0.7115
Hg 0.2885 0.7115 0.0000
Hg 0.7115 0.0000 0.2885

Values from the calculation:
- Energy of formation from the pure elements: 0.01 eV per atom
- DFT total energy: -4.57 eV/atom

(12)
This record from the Alexandria database describes crystalline PuTl15Hg4 at its relaxed geometry. The functional is PBE-GGA.

Unit cell a=4.8749 b=4.8749 c=24.3895 alpha=90.00 beta=90.00 gamma=90.00
Positions (direct):
Pu 0.0000 0.0000 0.0000
Tl 0.0000 0.5000 0.0977
Tl 0.0000 0.5000 0.2967
Tl 0.0000 0.5000 0.5000
Tl 0.0000 0.5000 0.7033
Tl 0.0000 0.5000 0.9023
Tl 0.5000 0.0000 0.0977
Tl 0.5000 0.0000 0.2967
Tl 0.5000 0.0000 0.5000
Tl 0.5000 0.0000 0.7033
Tl 0.5000 0.0000 0.9023
Tl 0.5000 0.5000 0.0000
Tl 0.5000 0.5000 0.1965
Tl 0.5000 0.5000 0.3991
Tl 0.5000 0.5000 0.6009
Tl 0.5000 0.5000 0.8035
Hg 0.0000 0.0000 0.1936
Hg 0.0000 0.0000 0.3986
Hg 0.0000 0.0000 0.6014
Hg 0.0000 0.0000 0.8064

Values from the calculation:
- Energy of formation from the pure elements: 0.03 eV per atom
- DFT total energy: -2.52 eV/atom

What is the formula in the eleventh record?
Pu2Tl3Hg3